# TcPt2Rh

A relaxed structure of TcPt2Rh (PBE-GGA, Alexandria).

Cell: 3.902 3.902 3.937 Å, 90.00 90.00 90.00°
Fractional positions:
Tc 0.000 0.000 0.000
Pt 0.000 0.500 0.500
Pt 0.500 0.000 0.500
Rh 0.500 0.500 0.000

Raw total energy   -7.4781 eV per atom
Formation energy from the elements   -0.028 eV per atom
Relative energy among the computed polymorphs   140 meV per atom
Density   16.38 g/cm3
SG   P4/mmm